Gd3LuPb2C2 (PBE, optimized geometry); magnetic moment = 0.03 μB/cell; total DFT energy (no corrections) = -48.1 eV/cell; symmetry = No. 156
1.0
3.6452 0.0000 0.0000
-1.8226 3.1569 0.0000
0.0000 0.0000 16.2335
Gd Lu Pb C
3 1 2 2
direct
0.0000 0.0000 0.0000
0.0000 0.0000 0.3368
0.3333 0.6667 0.5053
0.3333 0.6667 0.8377
0.0000 0.0000 0.6751
0.3333 0.6667 0.1682
0.6667 0.3333 0.4213
0.6667 0.3333 0.9156